# 1
Computed, not measured: a relaxed Pu3AsCl3 crystal at the PBE level of DFT.

## Properties
Its density of states at the Fermi level is 1.184 states/eV/atom.

Geometry as CIF:
```
data_Pu3AsCl3
_cell_length_a 6.2076
_cell_length_b 6.2076
_cell_length_c 30.6850
_cell_angle_alpha 90.00
_cell_angle_beta 90.00
_cell_angle_gamma 120.00
_symmetry_space_group_name_H-M 'R -3'
_symmetry_Int_Tables_number 148
_symmetry_space_group_name_Hall '-R 3'
loop_
_atom_site_label
_atom_site_fract_x
_atom_site_fract_y
_atom_site_fract_z
_atom_site_occupancy
Pu1 0.0001 0.2211 0.4465 1
As1 0.0000 0.0000 0.1667 1
Cl1 0.9999 0.4171 0.6076 1
```

=====

# 2
Computed, not measured: a relaxed Pu4AsS2Cl crystal at the PBE level of DFT.

## Properties
Its density of states at the Fermi level is 4.195 states/eV/atom.

Geometry as CIF:
```
data_Pu4AsS2Cl
_cell_length_a 6.927
_cell_length_b 4.041
_cell_length_c 7.022
_cell_angle_alpha 90.00
_cell_angle_beta 109.51
_cell_angle_gamma 90.00
_symmetry_space_group_name_H-M 'P 1 2/m 1'
_symmetry_Int_Tables_number 10
loop_
_symmetry_equiv_pos_as_xyz
'x,y,z'
'-x,-y,-z'
'-x,y,-z'
'x,-y,z'
loop_
_atom_site_label
_atom_site_fract_x
_atom_site_fract_y
_atom_site_fract_z
_atom_site_occupancy
Pu1 0.245 0.000 0.236 1
Pu2 0.253 0.500 0.762 1
As1 0.000 0.000 0.500 1
S1 0.000 0.500 0.000 1
S2 0.500 0.000 0.000 1
Cl1 0.500 0.500 0.500 1
```

=====

# 3
Computed, not measured: a relaxed RbAsCl6 crystal at the PBE level of DFT.

## Properties
The energy above the most stable polymorph in this dataset comes out at 0 meV per atom.

Geometry as CIF:
```
data_RbAsCl6
_cell_length_a 9.580
_cell_length_b 9.546
_cell_length_c 6.842
_cell_angle_alpha 90.00
_cell_angle_beta 125.64
_cell_angle_gamma 90.00
_symmetry_space_group_name_H-M 'C 1 2/m 1'
_symmetry_Int_Tables_number 12
loop_
_symmetry_equiv_pos_as_xyz
'x,y,z'
'-x,-y,-z'
'-x,y,-z'
'x,-y,z'
'x+1/2,y+1/2,z'
'-x+1/2,-y+1/2,-z'
'-x+1/2,y+1/2,-z'
'x+1/2,-y+1/2,z'
loop_
_atom_site_label
_atom_site_fract_x
_atom_site_fract_y
_atom_site_fract_z
_atom_site_occupancy
Rb1 0.000 0.000 0.000 1
As1 0.000 0.500 0.000 1
Cl1 0.033 0.332 0.793 1
Cl2 0.207 0.000 0.707 1
```

=====

# 4
Computed, not measured: a relaxed Rb3AsCl crystal at the PBE level of DFT.

## Properties
The energy above the most stable polymorph in this dataset comes out at 0 meV per atom. Its density of states at the Fermi level is 1.066 states/eV/atom.

Geometry as CIF:
```
data_Rb3AsCl
_cell_length_a 6.161
_cell_length_b 6.161
_cell_length_c 6.161
_cell_angle_alpha 90.00
_cell_angle_beta 90.00
_cell_angle_gamma 90.00
_symmetry_space_group_name_H-M 'P m -3 m'
_symmetry_Int_Tables_number 221
_symmetry_space_group_name_Hall '-P 4 2 3'
loop_
_atom_site_label
_atom_site_fract_x
_atom_site_fract_y
_atom_site_fract_z
_atom_site_occupancy
Rb1 0.000 0.000 0.500 1
As1 0.500 0.500 0.500 1
Cl1 0.000 0.000 0.000 1
```

=====

# 5
Computed, not measured: a relaxed RbAsCl crystal at the PBE level of DFT.

## Properties
Its density of states at the Fermi level is 0.217 states/eV/atom.

Geometry as CIF:
```
data_RbAsCl
_cell_length_a 3.828
_cell_length_b 4.693
_cell_length_c 11.287
_cell_angle_alpha 93.19
_cell_angle_beta 90.03
_cell_angle_gamma 90.01
_symmetry_space_group_name_H-M 'P 1'
_symmetry_Int_Tables_number 1
loop_
_symmetry_equiv_pos_as_xyz
'x,y,z'
loop_
_atom_site_label
_atom_site_fract_x
_atom_site_fract_y
_atom_site_fract_z
_atom_site_occupancy
Rb1 0.000 0.000 0.000 1
Rb2 0.000 0.454 0.644 1
As1 0.497 0.824 0.306 1
As2 0.997 0.498 0.278 1
Cl1 0.500 0.485 0.889 1
Cl2 0.500 0.942 0.550 1
```

=====

# 6
Computed, not measured: a relaxed Rb2AsCl7 crystal at the PBE level of DFT.

## Properties
The energy above the most stable polymorph in this dataset comes out at 52 meV per atom. Its density of states at the Fermi level is 0.000 states/eV/atom.

Geometry as CIF:
```
data_Rb2AsCl7
_cell_length_a 8.131
_cell_length_b 8.131
_cell_length_c 9.094
_cell_angle_alpha 90.00
_cell_angle_beta 90.00
_cell_angle_gamma 90.00
_symmetry_space_group_name_H-M 'I 4/m m m'
_symmetry_Int_Tables_number 139
_symmetry_space_group_name_Hall '-I 4 2'
loop_
_atom_site_label
_atom_site_fract_x
_atom_site_fract_y
_atom_site_fract_z
_atom_site_occupancy
Rb1 0.000 0.500 0.250 1
As1 0.000 0.000 0.000 1
Cl1 0.000 0.000 0.247 1
Cl2 0.000 0.000 0.500 1
Cl3 0.212 0.212 0.000 1
```

=====

# 7
Computed, not measured: a relaxed Rb2AsCl7 crystal at the PBE level of DFT.

## Properties
The energy above the most stable polymorph in this dataset comes out at 0 meV per atom. Its density of states at the Fermi level is 0.204 states/eV/atom.

Geometry as CIF:
```
data_Rb2AsCl7
_cell_length_a 10.709
_cell_length_b 10.709
_cell_length_c 10.709
_cell_angle_alpha 90.00
_cell_angle_beta 90.00
_cell_angle_gamma 90.00
_symmetry_space_group_name_H-M 'F m -3 m'
_symmetry_Int_Tables_number 225
_symmetry_space_group_name_Hall '-F 4 2 3'
loop_
_atom_site_label
_atom_site_fract_x
_atom_site_fract_y
_atom_site_fract_z
_atom_site_occupancy
Rb1 0.250 0.250 0.250 1
As1 0.000 0.000 0.000 1
Cl1 0.000 0.000 0.219 1
Cl2 0.000 0.000 0.500 1
```

=====

# 8
Computed, not measured: a relaxed Rb2AsCl4 crystal at the PBE level of DFT.

## Properties
The energy above the most stable polymorph in this dataset comes out at 0 meV per atom.

Geometry as CIF:
```
data_Rb2AsCl4
_cell_length_a 7.615
_cell_length_b 7.615
_cell_length_c 8.738
_cell_angle_alpha 90.00
_cell_angle_beta 90.00
_cell_angle_gamma 90.00
_symmetry_space_group_name_H-M 'I 4/m m m'
_symmetry_Int_Tables_number 139
_symmetry_space_group_name_Hall '-I 4 2'
loop_
_atom_site_label
_atom_site_fract_x
_atom_site_fract_y
_atom_site_fract_z
_atom_site_occupancy
Rb1 0.000 0.500 0.250 1
As1 0.000 0.000 0.000 1
Cl1 0.233 0.233 0.000 1
```

=====

# 9
Computed, not measured: a relaxed Rb3AsCl7 crystal at the PBE level of DFT.

## Properties
Its density of states at the Fermi level is 0.959 states/eV/atom.

Geometry as CIF:
```
data_Rb3AsCl7
_cell_length_a 10.046
_cell_length_b 10.046
_cell_length_c 6.990
_cell_angle_alpha 90.00
_cell_angle_beta 90.00
_cell_angle_gamma 90.00
_symmetry_space_group_name_H-M 'P 4/m b m'
_symmetry_Int_Tables_number 127
_symmetry_space_group_name_Hall '-P 4 2ab'
loop_
_atom_site_label
_atom_site_fract_x
_atom_site_fract_y
_atom_site_fract_z
_atom_site_occupancy
Rb1 0.000 0.000 0.000 1
Rb2 0.177 0.323 0.500 1
As1 0.000 0.500 0.000 1
Cl1 0.000 0.000 0.500 1
Cl2 0.117 0.617 0.247 1
Cl3 0.169 0.331 0.000 1
```

=====

# 10
Computed, not measured: a relaxed Rb2AsCl crystal at the PBE level of DFT.

## Properties
The energy above the most stable polymorph in this dataset comes out at 23 meV per atom. Its density of states at the Fermi level is 1.654 states/eV/atom.

Geometry as CIF:
```
data_Rb2AsCl
_cell_length_a 8.401
_cell_length_b 8.401
_cell_length_c 8.401
_cell_angle_alpha 90.00
_cell_angle_beta 90.00
_cell_angle_gamma 90.00
_symmetry_space_group_name_H-M 'F m -3 m'
_symmetry_Int_Tables_number 225
_symmetry_space_group_name_Hall '-F 4 2 3'
loop_
_atom_site_label
_atom_site_fract_x
_atom_site_fract_y
_atom_site_fract_z
_atom_site_occupancy
Rb1 0.250 0.250 0.250 1
As1 0.000 0.000 0.000 1
Cl1 0.000 0.000 0.500 1
```

=====

# 11
Computed, not measured: a relaxed Rb3As2Cl9 crystal at the PBE level of DFT.

## Properties
Its density of states at the Fermi level is 0.000 states/eV/atom.

Geometry as CIF:
```
data_Rb3As2Cl9
_cell_length_a 7.3598
_cell_length_b 7.3598
_cell_length_c 18.3508
_cell_angle_alpha 90.00
_cell_angle_beta 90.00
_cell_angle_gamma 120.00
_symmetry_space_group_name_H-M 'P 63/m m c'
_symmetry_Int_Tables_number 194
_symmetry_space_group_name_Hall '-P 6c 2c'
loop_
_atom_site_label
_atom_site_fract_x
_atom_site_fract_y
_atom_site_fract_z
_atom_site_occupancy
Rb1 0.0000 0.0000 0.2500 1
Rb2 0.3333 0.6667 0.0891 1
As1 0.3333 0.6667 0.6546 1
Cl1 0.0006 0.5003 0.7500 1
Cl2 0.1775 0.3551 0.5852 1
```

=====

# 12
Computed, not measured: a relaxed Rb2AsCl crystal at the PBE level of DFT.

## Properties
The energy above the most stable polymorph in this dataset comes out at 0 meV per atom. Its density of states at the Fermi level is 0.203 states/eV/atom.

Geometry as CIF:
```
data_Rb2AsCl
_cell_length_a 8.930
_cell_length_b 8.930
_cell_length_c 9.446
_cell_angle_alpha 90.00
_cell_angle_beta 90.00
_cell_angle_gamma 90.00
_symmetry_space_group_name_H-M 'I -4 2 d'
_symmetry_Int_Tables_number 122
_symmetry_space_group_name_Hall 'I -4 2bw'
loop_
_atom_site_label
_atom_site_fract_x
_atom_site_fract_y
_atom_site_fract_z
_atom_site_occupancy
Rb1 0.216 0.750 0.125 1
As1 0.000 0.000 0.500 1
Cl1 0.000 0.000 0.000 1
```

=====

Results for formation energy (no corrections): -0.660 -1.447 -0.840 -0.708 -1.041 -0.988 -1.040 -1.297 -1.311 -0.642 -1.280 -0.665 (in eV per atom, following the order of the records).
Results for final energy: -57.8 -83.7 -23.4 -12.9 -10.6 -29.4 -29.9 -23.1 -34.9 -11.0 -46.7 -11.1 (in eV per formula unit, following the order of the records).